[1]
Crystalline In2PPt at its relaxed geometry. Source: Alexandria, functional GGA-PBEsol.

The calculation puts the density of states at the Fermi level at 13.568 states/eV per cell. The formation energy comes out at 132 meV per atom. For the total magnetic moment, the calculation gives 0.00 Bohr magnetons per cell.

It has space group Fm-3m (No. 225), with a = 6.672 Å, b = 6.672 Å, c = 6.672 Å, α = 90.00°, β = 90.00° and γ = 90.00°. Symmetry generates all atoms from In at (0.250, 0.250, 0.250), P at (0.000, 0.000, 0.000) and Pt at (0.000, 0.000, 0.500).

=====

[2]
Crystalline In2PPt at its relaxed geometry. Source: Alexandria, functional GGA-PBEsol.

The calculation puts the density of states at the Fermi level at 1.680 states/eV per cell. The formation energy comes out at -94 meV per atom. For the total magnetic moment, the calculation gives 0.00 Bohr magnetons per cell.

It has space group P4mm (No. 99), with a = 3.183 Å, b = 3.183 Å, c = 7.934 Å, α = 90.00°, β = 90.00° and γ = 90.00°. Symmetry generates all atoms from In at (0.000, 0.000, 0.000), In at (0.500, 0.500, 0.325), P at (0.000, 0.000, 0.611) and Pt at (0.500, 0.500, 0.732).

=====

[3]
Crystalline In2ReP at its relaxed geometry. Source: Alexandria, functional GGA-PBEsol.

The calculation puts the density of states at the Fermi level at 3.814 states/eV per cell. The formation energy comes out at 672 meV per atom. For the total magnetic moment, the calculation gives 0.00 Bohr magnetons per cell.

It has space group P4/mmm (No. 123), with a = 2.950 Å, b = 2.950 Å, c = 8.279 Å, α = 90.00°, β = 90.00° and γ = 90.00°. Symmetry generates all atoms from In at (0.000, 0.000, 0.237), Re at (0.500, 0.500, 0.000) and P at (0.500, 0.500, 0.500).

=====

[4]
Crystalline In2ReP at its relaxed geometry. Source: Alexandria, functional GGA-PBEsol.

The calculation puts the density of states at the Fermi level at 2.639 states/eV per cell. The formation energy comes out at 28 meV per atom. For the total magnetic moment, the calculation gives 0.00 Bohr magnetons per cell.

It has space group P4mm (No. 99), with a = 3.037 Å, b = 3.037 Å, c = 8.154 Å, α = 90.00°, β = 90.00° and γ = 90.00°. Symmetry generates all atoms from In at (0.000, 0.000, 0.000), In at (0.500, 0.500, 0.337), Re at (0.500, 0.500, 0.750) and P at (0.000, 0.000, 0.613).

=====

[5]
Crystalline InP2Rh at its relaxed geometry. Source: Alexandria, functional GGA-PBEsol.

The calculation puts the density of states at the Fermi level at 3.383 states/eV per cell. The formation energy comes out at 190 meV per atom. For the total magnetic moment, the calculation gives 0.00 Bohr magnetons per cell.

It has space group Cmmm (No. 65), with a = 5.296 Å, b = 7.037 Å, c = 3.398 Å, α = 90.00°, β = 90.00° and γ = 90.00°. Symmetry generates all atoms from In at (0.000, 0.000, 0.000), P at (0.250, 0.250, 0.500) and Rh at (0.000, 0.500, 0.000).

=====

[6]
Crystalline InP2Rh at its relaxed geometry. Source: Alexandria, functional GGA-PBEsol.

The calculation puts the density of states at the Fermi level at 1.657 states/eV per cell. The formation energy comes out at 249 meV per atom. For the total magnetic moment, the calculation gives 0.00 Bohr magnetons per cell.

It has space group P4/mmm (No. 123), with a = 3.762 Å, b = 3.762 Å, c = 4.519 Å, α = 90.00°, β = 90.00° and γ = 90.00°. Symmetry generates all atoms from In at (0.000, 0.000, 0.000), P at (0.000, 0.500, 0.500) and Rh at (0.500, 0.500, 0.000).

=====

[7]
Crystalline InPRh at its relaxed geometry. Source: Alexandria, functional GGA-PBEsol.

The calculation puts the density of states at the Fermi level at 9.315 states/eV per cell. The formation energy comes out at 89 meV per atom. For the total magnetic moment, the calculation gives 0.00 Bohr magnetons per cell.

It has space group F-43m (No. 216), with a = 5.939 Å, b = 5.939 Å, c = 5.939 Å, α = 90.00°, β = 90.00° and γ = 90.00°. Symmetry generates all atoms from In at (0.000, 0.000, 0.000), P at (0.250, 0.250, 0.250) and Rh at (0.000, 0.000, 0.500).

=====

[8]
Crystalline InPRh at its relaxed geometry. Source: Alexandria, functional GGA-PBEsol.

The calculation puts the density of states at the Fermi level at 3.797 states/eV per cell. The formation energy comes out at -229 meV per atom. For the total magnetic moment, the calculation gives 0.00 Bohr magnetons per cell.

It has space group Imm2 (No. 44), with a = 2.939 Å, b = 2.952 Å, c = 11.531 Å, α = 90.00°, β = 90.00° and γ = 90.00°. Symmetry generates all atoms from In at (0.000, 0.000, 0.000), P at (0.000, 0.000, 0.291) and Rh at (0.000, 0.000, 0.685).

=====

[9]
Crystalline InP2Rh at its relaxed geometry. Source: Alexandria, functional GGA-PBEsol.

The calculation puts the density of states at the Fermi level at 0.896 states/eV per cell. The formation energy comes out at -201 meV per atom. For the total magnetic moment, the calculation gives 0.00 Bohr magnetons per cell.

It has space group Pm (No. 6), with a = 3.799 Å, b = 3.280 Å, c = 5.835 Å, α = 90.00°, β = 108.40° and γ = 90.00°. Symmetry generates all atoms from In at (0.000, 0.000, 0.000), P at (0.395, 0.000, 0.468), P at (0.787, 0.500, 0.478) and Rh at (0.385, 0.500, 0.760).

=====

[10]
Crystalline InP2Rh at its relaxed geometry. Source: Alexandria, functional GGA-PBEsol.

The calculation puts the density of states at the Fermi level at 11.289 states/eV per cell. The formation energy comes out at 351 meV per atom. For the total magnetic moment, the calculation gives 0.00 Bohr magnetons per cell.

It has space group F-43m (No. 216), with a = 6.345 Å, b = 6.345 Å, c = 6.345 Å, α = 90.00°, β = 90.00° and γ = 90.00°. Symmetry generates all atoms from In at (0.000, 0.000, 0.000), P at (0.000, 0.000, 0.500), P at (0.250, 0.250, 0.250) and Rh at (0.250, 0.250, 0.750).

=====

[11]
Crystalline InSbP2Rh at its relaxed geometry. Source: Alexandria, functional GGA-PBEsol.

The calculation puts the density of states at the Fermi level at 3.682 states/eV per cell. For the total magnetic moment, the calculation gives 0.00 Bohr magnetons per cell. The calculation puts the formation energy from raw total energies at 1.52 eV per formula unit.

It has space group P4/mmm (No. 123), with a = 4.468 Å, b = 4.468 Å, c = 5.379 Å, α = 90.00°, β = 90.00° and γ = 90.00°. Symmetry generates all atoms from In at (0.000, 0.000, 0.000), Sb at (0.500, 0.500, 0.000), P at (0.000, 0.500, 0.500) and Rh at (0.000, 0.000, 0.500).

=====

[12]
Crystalline In2PRu at its relaxed geometry. Source: Alexandria, functional GGA-PBEsol.

The calculation puts the density of states at the Fermi level at 4.610 states/eV per cell. The formation energy comes out at -31 meV per atom. For the total magnetic moment, the calculation gives 0.00 Bohr magnetons per cell.

It has space group Imm2 (No. 44), with a = 2.974 Å, b = 4.500 Å, c = 11.302 Å, α = 90.00°, β = 90.00° and γ = 90.00°. Symmetry generates all atoms from In at (0.000, 0.000, 0.000), In at (0.000, 0.500, 0.197), P at (0.000, 0.500, 0.813) and Ru at (0.000, 0.000, 0.471).

=====

[13]
Crystalline InPRu at its relaxed geometry. Source: Alexandria, functional GGA-PBEsol.

The calculation puts the density of states at the Fermi level at 1.816 states/eV per cell. The formation energy comes out at -193 meV per atom. For the total magnetic moment, the calculation gives 0.00 Bohr magnetons per cell.

It has space group I4mm (No. 107), with a = 2.928 Å, b = 2.928 Å, c = 11.391 Å, α = 90.00°, β = 90.00° and γ = 90.00°. Symmetry generates all atoms from In at (0.000, 0.000, 0.000), P at (0.000, 0.000, 0.287) and Ru at (0.000, 0.000, 0.683).

=====

[14]
Crystalline Tl2InPRu at its relaxed geometry. Source: Alexandria, functional GGA-PBEsol.

The calculation puts the density of states at the Fermi level at 4.878 states/eV per cell. The formation energy comes out at 727 meV per atom. For the total magnetic moment, the calculation gives 1.72 Bohr magnetons per cell.

It has space group P4/mmm (No. 123), with a = 5.144 Å, b = 5.144 Å, c = 5.065 Å, α = 90.00°, β = 90.00° and γ = 90.00°. Symmetry generates all atoms from Tl at (0.000, 0.500, 0.000), In at (0.000, 0.000, 0.500), P at (0.500, 0.500, 0.500) and Ru at (0.000, 0.000, 0.000).

=====

[15]
Crystalline InSiP2S at its relaxed geometry. Source: Alexandria, functional GGA-PBEsol.

The calculation puts the density of states at the Fermi level at 4.092 states/eV per cell. For the total magnetic moment, the calculation gives 0.00 Bohr magnetons per cell. The calculation puts the formation energy from raw total energies at 1.75 eV per formula unit.

It has space group P4/mmm (No. 123), with a = 4.564 Å, b = 4.564 Å, c = 4.489 Å, α = 90.00°, β = 90.00° and γ = 90.00°. Symmetry generates all atoms from In at (0.000, 0.000, 0.000), Si at (0.500, 0.500, 0.500), P at (0.000, 0.500, 0.500) and S at (0.500, 0.500, 0.000).

=====

[16]
Crystalline InSnPS2 at its relaxed geometry. Source: Alexandria, functional GGA-PBEsol.

The calculation puts the density of states at the Fermi level at 4.782 states/eV per cell. For the total magnetic moment, the calculation gives 0.00 Bohr magnetons per cell. The calculation puts the formation energy from raw total energies at 1.96 eV per formula unit.

It has space group P4/mmm (No. 123), with a = 4.941 Å, b = 4.941 Å, c = 5.050 Å, α = 90.00°, β = 90.00° and γ = 90.00°. Symmetry generates all atoms from In at (0.000, 0.000, 0.000), Sn at (0.500, 0.500, 0.500), P at (0.500, 0.500, 0.000) and S at (0.000, 0.500, 0.500).

=====

[17]
Crystalline SrInPS2 at its relaxed geometry. Source: Alexandria, functional GGA-PBEsol.

The calculation puts the density of states at the Fermi level at 5.413 states/eV per cell. For the total magnetic moment, the calculation gives 3.41 Bohr magnetons per cell. The calculation puts the formation energy from raw total energies at 2.29 eV per formula unit.

It has space group P4/mmm (No. 123), with a = 5.488 Å, b = 5.488 Å, c = 5.688 Å, α = 90.00°, β = 90.00° and γ = 90.00°. Symmetry generates all atoms from Sr at (0.000, 0.000, 0.000), In at (0.500, 0.500, 0.500), P at (0.000, 0.000, 0.500) and S at (0.000, 0.500, 0.000).

=====

[18]
Crystalline InTcP2S at its relaxed geometry. Source: Alexandria, functional GGA-PBEsol.

The calculation puts the density of states at the Fermi level at 3.655 states/eV per cell. For the total magnetic moment, the calculation gives 0.00 Bohr magnetons per cell. The calculation puts the formation energy from raw total energies at 1.36 eV per formula unit.

It has space group P4/mmm (No. 123), with a = 4.448 Å, b = 4.448 Å, c = 5.156 Å, α = 90.00°, β = 90.00° and γ = 90.00°. Symmetry generates all atoms from In at (0.000, 0.000, 0.000), Tc at (0.500, 0.500, 0.500), P at (0.000, 0.500, 0.500) and S at (0.500, 0.500, 0.000).

=====

[19]
Crystalline ZnInP2S at its relaxed geometry. Source: Alexandria, functional GGA-PBEsol.

The calculation puts the density of states at the Fermi level at 5.689 states/eV per cell. For the total magnetic moment, the calculation gives 0.84 Bohr magnetons per cell. The calculation puts the formation energy from raw total energies at 5.65 eV per formula unit.

It has space group P4/mmm (No. 123), with a = 4.992 Å, b = 4.992 Å, c = 4.906 Å, α = 90.00°, β = 90.00° and γ = 90.00°. Symmetry generates all atoms from Zn at (0.000, 0.000, 0.000), In at (0.500, 0.500, 0.500), P at (0.000, 0.500, 0.500) and S at (0.500, 0.500, 0.000).

=====

[20]
Crystalline Sc2InP at its relaxed geometry. Source: Alexandria, functional GGA-PBEsol.

The calculation puts the density of states at the Fermi level at 3.715 states/eV per cell. The formation energy comes out at -767 meV per atom. For the total magnetic moment, the calculation gives 0.01 Bohr magnetons per cell. As for the excess energy over the best structure of this formula in the dataset: 200 meV per atom.

It has space group P4/mmm (No. 123), with a = 3.219 Å, b = 3.219 Å, c = 7.495 Å, α = 90.00°, β = 90.00° and γ = 90.00°. Symmetry generates all atoms from Sc at (0.000, 0.000, 0.202), In at (0.500, 0.500, 0.500) and P at (0.500, 0.500, 0.000).